VASP calculation (GGA-PBE) on a geometry-optimized Mn2Te structure.

Values from the calculation:
E ... -6.921 eV/atom
Magnetization ... 6.51 μB per formula unit
Fermi-level density of states ... 4.973 states/eV per cell
Theoretical density ... 7.8 Mg/m³

Cell lengths 3.482, 3.482, 8.310 Å; angles 90.00, 90.00, 90.00 degrees
Space group I4/mmm (No. 139)
Symmetry-distinct sites (fractional):
Mn1 0.000 0.000 0.168 x4
Te1 0.000 0.000 0.500 x2